(1)
This record from Alexandria describes a geometry-optimized Na2HfInSe4 structure. The functional is PBE-GGA.

ΔE_f (raw) = -101 kJ per mole of atoms
D(E_F) = 0.308 states/eV per atom
symmetry = No. 10
total DFT energy (no corrections) = -37.68 eV for the cell shown

a b c (Å): 3.9649 7.2110 7.2686
angles (deg): 108.16 90.00 90.00
With the nearest neighbours (Å) after each atom.
Sites, in units of the cell vectors:
Na  0.5000  0.0000  0.5000  6 Se 3.08-3.18
Na  0.0000  0.5000  0.5000  6 Se 2.97-2.98
Hf  0.5000  0.5000  0.0000  6 Se 2.68-2.74
In  0.0000  0.0000  0.0000  6 Se 2.86-2.90
Se  0.5000  0.2627  0.2204  1 Hf 2.68, 2 In 2.86, 2 Na 2.97
Se  0.5000  0.7373  0.7796  1 Hf 2.68, 2 In 2.86, 2 Na 2.97
Se  0.0000  0.2745  0.7807  2 Hf 2.74, 1 In 2.90, 1 Na 2.98
Se  0.0000  0.7255  0.2193  2 Hf 2.74, 1 In 2.90, 1 Na 2.98



(2)
This record from Alexandria describes a geometry-optimized Na2HfInSn structure. The functional is PBE-GGA.

energy of formation from the pure elements = 0.5330 eV per atom
D(E_F) = 0.752 states/eV per atom
symmetry = No. 123
total DFT energy (no corrections) = -16.67 eV for the cell shown

a b c (Å): 5.4567 5.5669 5.4567
angles (deg): 90.00 90.00 90.00
With the nearest neighbours (Å) after each atom.
Sites, in units of the cell vectors:
Na  0.0000  0.0000  0.5000  2 Sn 2.73
Na  0.5000  0.0000  0.0000  2 Sn 2.73
Hf  0.0000  0.5000  0.0000  2 Sn 2.78
Sn  0.0000  0.0000  0.0000  4 Na 2.73, 2 Hf 2.78
In  0.5000  0.5000  0.5000  4 Hf 3.86, 8 Na 3.90



(3)
This record from Alexandria describes a geometry-optimized Na2HfInSn structure. The functional is PBE-GGA.

energy of formation from the pure elements = 0.8586 eV per atom
D(E_F) = 0.805 states/eV per atom
symmetry = No. 123
total DFT energy (no corrections) = -15.04 eV for the cell shown

a b c (Å): 6.1531 5.4552 6.1531
angles (deg): 90.00 90.00 90.00
With the nearest neighbours (Å) after each atom.
Sites, in units of the cell vectors:
Na  0.0000  0.0000  0.5000  2 Hf 3.08
Na  0.5000  0.0000  0.0000  2 Hf 3.08
Hf  0.0000  0.0000  0.0000  2 Sn 2.73
Sn  0.0000  0.5000  0.0000  2 Hf 2.73
In  0.5000  0.5000  0.5000  8 Na 4.11, 4 Sn 4.35